Below is a PBEsol-optimized structure of TcHgMo, with properties calculated at the meta-GGA SCAN level.

Structure (CIF):
```
data_TcHgMo
_chemical_formula_sum 'Tc4 Hg4 Mo4'
_cell_length_a 6.113
_cell_length_b 6.113
_cell_length_c 6.113
_cell_angle_alpha 90.00
_cell_angle_beta 90.00
_cell_angle_gamma 90.00
_space_group_name_H-M_alt 'F -4 3 m'
_space_group_IT_number 216
_space_group_name_Hall 'F -4 2 3'
loop_
_atom_site_label
_atom_site_type_symbol
_atom_site_fract_x
_atom_site_fract_y
_atom_site_fract_z
_atom_site_occupancy
Tc1 Tc 0.000 0.000 0.000 1
Hg1 Hg 0.250 0.250 0.750 1
Mo1 Mo 0.000 0.000 0.500 1
```

* E_form: 1.53 eV per atom
* magnetic moment: 5.04 μB/cell
* mass density: 11.47 Mg/m³
* D(E_F): 15.5 states/eV/cell